No. 1
# HfTa2Nb (GGA-PBE, optimized geometry)
data_HfTa2Nb
_cell_length_a 3.3529
_cell_length_b 3.3529
_cell_length_c 6.8458
_cell_angle_alpha 90.00
_cell_angle_beta 90.00
_cell_angle_gamma 90.00
_space_group_name_H-M_alt 'P 4/m m m'
_space_group_IT_number 123
_space_group_name_Hall '-P 4 2'
loop_
_atom_site_label
_atom_site_type_symbol
_atom_site_fract_x
_atom_site_fract_y
_atom_site_fract_z
_atom_site_occupancy
Hf1 Hf 0.0000 0.0000 0.0000 1
Ta1 Ta 0.5000 0.5000 0.2725 1
Nb1 Nb 0.0000 0.0000 0.5000 1
# E_form, eV per atom: 0.06
# DFT total energy, eV per atom: -10.88
# Calculated density, g/cm³: 13.664
# Magnetic moment, μB/cell: 0.0
# V, Å³/atom: 19.2

No. 2
# HfTa3Nb3 (GGA-PBE, optimized geometry)
data_HfTa3Nb3
_cell_length_a 5.5704
_cell_length_b 7.0454
_cell_length_c 7.2360
_cell_angle_alpha 90.83
_cell_angle_beta 102.21
_cell_angle_gamma 100.41
_space_group_name_H-M_alt 'P -1'
_space_group_IT_number 2
loop_
_space_group_symop_operation_xyz
'x,y,z'
'-x,-y,-z'
loop_
_atom_site_label
_atom_site_type_symbol
_atom_site_fract_x
_atom_site_fract_y
_atom_site_fract_z
_atom_site_occupancy
Hf1 Hf 0.0127 0.3435 0.3489 1
Ta1 Ta 0.3534 0.8060 0.9979 1
Ta2 Ta 0.4155 0.1309 0.3295 1
Ta3 Ta 0.4283 0.4639 0.6851 1
Nb1 Nb 0.2025 0.0666 0.6839 1
Nb2 Nb 0.2018 0.7499 0.3310 1
Nb3 Nb 0.2037 0.3782 0.9954 1
# E_form, eV per atom: 0.23
# DFT total energy, eV per atom: -10.59
# Calculated density, g/cm³: 12.184
# Magnetic moment, μB/cell: 0.0
# V, Å³/atom: 19.5

No. 3
# Hf2TaNb4 (GGA-PBE, optimized geometry)
data_Hf2TaNb4
_cell_length_a 3.3285
_cell_length_b 25.6417
_cell_length_c 3.2773
_cell_angle_alpha 90.00
_cell_angle_beta 90.00
_cell_angle_gamma 90.00
_space_group_name_H-M_alt 'C m m m'
_space_group_IT_number 65
_space_group_name_Hall '-C 2 2'
loop_
_atom_site_label
_atom_site_type_symbol
_atom_site_fract_x
_atom_site_fract_y
_atom_site_fract_z
_atom_site_occupancy
Hf1 Hf 0.0000 0.1971 0.0000 1
Ta1 Ta 0.0000 0.5000 0.5000 1
Nb1 Nb 0.0000 0.0663 0.0000 1
Nb2 Nb 0.0000 0.3722 0.5000 1
# E_form, eV per atom: 0.11
# DFT total energy, eV per atom: -10.18
# Calculated density, g/cm³: 10.799
# Magnetic moment, μB/cell: 0.0
# V, Å³/atom: 20.0

No. 4
# HfTa2Nb3 (GGA-PBE, optimized geometry)
data_HfTa2Nb3
_cell_length_a 3.3478
_cell_length_b 3.3478
_cell_length_c 10.0975
_cell_angle_alpha 90.00
_cell_angle_beta 90.00
_cell_angle_gamma 90.00
_space_group_name_H-M_alt 'P 4/m m m'
_space_group_IT_number 123
_space_group_name_Hall '-P 4 2'
loop_
_atom_site_label
_atom_site_type_symbol
_atom_site_fract_x
_atom_site_fract_y
_atom_site_fract_z
_atom_site_occupancy
Hf1 Hf 0.0000 0.0000 0.0000 1
Ta1 Ta 0.0000 0.0000 0.3355 1
Nb1 Nb 0.5000 0.5000 0.1818 1
Nb2 Nb 0.5000 0.5000 0.5000 1
# E_form, eV per atom: 0.02
# DFT total energy, eV per atom: -10.62
# Calculated density, g/cm³: 12.019
# Magnetic moment, μB/cell: 0.0
# V, Å³/atom: 18.9